This record from Alexandria describes crystalline Y6Cd5Sb at its relaxed geometry. The functional is GGA-PBE.

Cell and atoms, written as POSCAR:
```
Y6Cd5Sb
1.0
-2.660 3.704 8.003
2.660 -3.704 8.003
2.660 3.704 -8.003
Y Cd Sb
6 5 1
Cartesian
2.660 1.834 -2.644
0.000 1.832 0.000
2.660 1.834 2.644
0.000 1.870 5.359
0.000 5.576 0.000
0.000 1.870 10.647
0.000 0.000 2.842
2.660 0.000 5.332
0.000 0.000 8.003
0.000 3.704 2.670
0.000 0.000 13.164
2.660 0.000 0.000
```

Calculated values
**Uncorrected formation energy**: -0.45 eV/atom
**Fermi-level density of states**: 11.14 states/eV/f.u.
**Volume**: 26.279 A^3/atom
**Space-group type**: Immm, No. 71
**Electronic total energy**: -52.9 eV per formula unit
**Total moment**: 0.0 μB/cell

---

This record from Alexandria describes crystalline TlNiHPt2 at its relaxed geometry. The functional is GGA-PBE.

Cell and atoms, written as POSCAR:
```
TlNiHPt2
1.0
4.045 0.000 0.000
0.000 4.045 0.000
0.000 0.000 4.113
Tl Ni H Pt
1 1 1 2
Cartesian
0.000 0.000 0.000
2.023 2.023 0.000
2.023 2.023 2.056
0.000 2.023 2.056
2.023 0.000 2.056
```

Calculated values
**Fermi-level density of states**: 1.02 states/eV/f.u.
**Volume**: 13.460 A^3/atom
**Space-group type**: P4/mmm, No. 123
**Electronic total energy**: -23.6 eV per formula unit
**Total moment**: 0.0 μB/cell

---

This record from Alexandria describes crystalline KSiRh4 at its relaxed geometry. The functional is GGA-PBE.

Cell and atoms, written as POSCAR:
```
KSiRh4
1.0
0.000 3.722 3.722
3.722 0.000 3.722
3.722 3.722 0.000
K Si Rh
1 1 4
Cartesian
0.000 0.000 0.000
1.861 1.861 1.861
4.645 2.799 2.799
2.799 4.645 2.799
2.799 2.799 4.645
4.645 4.645 4.645
```

Calculated values
**Uncorrected formation energy**: 0.50 eV/atom
**Fermi-level density of states**: 9.95 states/eV/f.u.
**Volume**: 17.188 A^3/atom
**Space-group type**: F-43m, No. 216
**Electronic total energy**: -33.0 eV per formula unit
**Total moment**: 1.6 μB/cell